Here is crystalline Ca2NbCr2 at its relaxed geometry from Alexandria via LeMat-Bulk. Energies are from PBE.

Output
The density of states at the Fermi level comes out at 9.39 states/eV/f.u. As for the formation energy: 0.80 eV/atom.

POSCAR file:
```
Ca2NbCr2
1.0
-2.6471 0.7786 -1.5210
0.6278 -2.1653 -2.2010
-6.4819 -8.1047 3.8692
Cr Nb Ca
2 1 2
direct
0.7500 0.2500 0.5000
0.2500 0.7500 0.5000
0.0000 0.0000 0.0000
0.3829 0.3829 0.2341
0.6171 0.6171 0.7659
```

Here is crystalline Ca2NbCr2 at its relaxed geometry from Alexandria via LeMat-Bulk. Energies are from PBE.

Output
The density of states at the Fermi level comes out at 10.01 states/eV/f.u. As for the formation energy: 1.41 eV/atom.

POSCAR file:
```
Ca2NbCr2
1.0
8.4572 0.0000 0.0000
0.0000 8.4572 0.0000
0.0000 0.0000 2.7039
Cr Nb Ca
4 2 4
direct
0.1880 0.6880 0.5000
0.6880 0.8120 0.5000
0.8120 0.3120 0.5000
0.3120 0.1880 0.5000
0.0000 0.0000 0.0000
0.5000 0.5000 0.0000
0.3797 0.8797 0.0000
0.8797 0.6203 0.0000
0.6203 0.1203 0.0000
0.1203 0.3797 0.0000
```

Here is crystalline Ca3NbCr at its relaxed geometry from Alexandria via LeMat-Bulk. Energies are from PBE.

Output
The density of states at the Fermi level comes out at 17.54 states/eV/f.u. As for the formation energy: 1.77 eV/atom.

POSCAR file:
```
Ca3NbCr
1.0
-1.2034 5.3244 -0.3503
-0.8938 0.1529 5.3942
5.2605 1.2440 0.8364
Cr Nb Ca
1 1 3
direct
0.5000 0.5000 0.5000
0.0000 0.0000 0.0000
0.0000 0.5000 0.0000
0.0000 0.0000 0.5000
0.5000 0.0000 0.0000
```

Here is crystalline CaNb3Cr at its relaxed geometry from Alexandria via LeMat-Bulk. Energies are from PBE.

Output
The density of states at the Fermi level comes out at 3.20 states/eV/f.u. As for the formation energy: 0.73 eV/atom.

POSCAR file:
```
CaNb3Cr
1.0
4.7587 0.0000 0.0000
0.0000 4.7587 0.0000
0.0000 0.0000 4.7587
Cr Nb Ca
1 3 1
direct
0.0000 0.0000 0.0000
0.0000 0.5000 0.0000
0.0000 0.0000 0.5000
0.5000 0.0000 0.0000
0.5000 0.5000 0.5000
```

Here is crystalline Ca3NbCr at its relaxed geometry from Alexandria via LeMat-Bulk. Energies are from PBE.

Output
The density of states at the Fermi level comes out at 10.80 states/eV/f.u. As for the formation energy: 1.36 eV/atom.

POSCAR file:
```
Ca3NbCr
1.0
5.4381 0.0000 0.0000
0.0000 5.4381 0.0000
0.0000 0.0000 5.4381
Cr Nb Ca
1 1 3
direct
0.0000 0.0000 0.0000
0.5000 0.5000 0.5000
0.0000 0.5000 0.0000
0.0000 0.0000 0.5000
0.5000 0.0000 0.0000
```

Here is crystalline CaNbCr2 at its relaxed geometry from Alexandria via LeMat-Bulk. Energies are from PBE.

Output
The density of states at the Fermi level comes out at 4.70 states/eV/f.u. As for the formation energy: 1.20 eV/atom.

POSCAR file:
```
CaNbCr2
1.0
-4.5323 -0.6045 -1.2091
1.0743 -4.1785 -1.9379
-3.2136 -6.2483 5.9198
Cr Nb Ca
4 2 2
direct
0.8755 0.1250 0.2500
0.8745 0.6250 0.2500
0.3750 0.1245 0.7500
0.8750 0.1255 0.7500
0.0000 0.0000 0.0000
0.7500 0.2500 0.5000
0.5000 0.5000 0.0000
0.2500 0.7500 0.5000
```